The following is a DFT calculation (PBE-GGA) of a relaxed structure of Y2ErMn.

Computed properties:
SG: P4/mmm, No. 123
Theoretical density in g/cm3: 6.1
E_form in eV/atom: 0.14
Total energy in eV/atom: -6.5274

The structure in POSCAR format:
```
Y2ErMn
1.0
-1.6204 -0.1668 -3.1504
-1.5909 -3.0151 0.9779
-6.6337 4.5290 3.1722
Y Mn Er
2 1 1
Direct
0.0000 0.0000 0.2040
0.0000 0.0000 0.7960
0.5000 0.5000 0.0000
0.5000 0.5000 0.5000
```


The following is a DFT calculation (PBE-GGA) of a relaxed structure of YErMn2.

Computed properties:
Energy above the most stable polymorph in this dataset in eV/f.u.: 0.00
SG: P4/mmm, No. 123
Theoretical density in g/cm3: 7.0
E_form in eV/atom: 0.20
Total energy in eV/atom: -7.1433

The structure in POSCAR format:
```
YErMn2
1.0
3.6027 0.0000 0.0000
0.0000 4.9268 0.0000
0.0000 0.0000 4.9268
Y Er Mn
1 1 2
Direct
0.5000 0.0000 0.0000
0.5000 0.5000 0.5000
0.0000 0.0000 0.5000
0.0000 0.5000 0.0000
```


The following is a DFT calculation (PBE-GGA) of a relaxed structure of YEr2Mn.

Computed properties:
Energy above the most stable polymorph in this dataset in eV/f.u.: 0.00
SG: P4/mmm, No. 123
Theoretical density in g/cm3: 7.5
E_form in eV/atom: 0.11
Total energy in eV/atom: -6.0808

The structure in POSCAR format:
```
YEr2Mn
1.0
3.5135 0.0000 0.0000
0.0000 3.5135 0.0000
0.0000 0.0000 8.5959
Mn Er Y
1 2 1
Direct
0.5000 0.5000 0.0000
0.0000 0.0000 0.8019
0.0000 0.0000 0.1981
0.5000 0.5000 0.5000
```


The following is a DFT calculation (PBE-GGA) of a relaxed structure of YEr2Mn.

Computed properties:
Energy above the most stable polymorph in this dataset in eV/f.u.: 1.64
SG: R-3m, No. 166
Theoretical density in g/cm3: 7.1
E_form in eV/atom: 0.52
Total energy in eV/atom: -5.6711

The structure in POSCAR format:
```
YEr2Mn
1.0
-2.9711 0.1425 1.6183
-1.0796 -2.6607 1.7950
3.8080 3.2155 10.2507
Er Mn Y
2 1 1
Direct
0.9185 0.9185 0.2444
0.0815 0.0815 0.7556
0.0000 0.0000 0.0000
0.5000 0.5000 0.5000
```